DFT (PBE) results for a relaxed Mn2SiNi5Ge2 crystal.

```
Mn2SiNi5Ge2
1.0
3.102 0.000 0.000
0.000 9.085 0.000
0.000 0.000 9.085
Ni Si Mn Ge
10 2 4 4
Direct
0.500 0.696 0.472
0.500 0.000 0.500
0.500 0.304 0.528
0.500 0.196 0.028
0.500 0.500 0.000
0.500 0.804 0.972
0.500 0.972 0.196
0.500 0.528 0.696
0.500 0.472 0.304
0.500 0.028 0.804
0.000 0.000 0.000
0.000 0.500 0.500
0.000 0.672 0.172
0.000 0.172 0.328
0.000 0.828 0.672
0.000 0.328 0.828
0.000 0.637 0.863
0.000 0.363 0.137
0.000 0.137 0.637
0.000 0.863 0.363
```

## Properties
E_form (uncorrected) (eV per atom): -0.16
Final energy (eV per atom): -6.346
Space-group type: P4/mbm

***

DFT (PBE) results for a relaxed TiV2BN crystal.

```
TiV2BN
1.0
4.492 0.000 0.000
0.000 2.921 0.000
0.000 0.000 4.492
B V N Ti
1 2 1 1
Direct
0.000 0.000 0.000
0.000 0.000 0.500
0.500 0.000 0.000
0.000 0.500 0.000
0.500 0.500 0.500
```

## Properties
E_form (uncorrected) (eV per atom): 0.59
Final energy (eV per atom): -7.633
Space-group type: P4/mmm

***

DFT (PBE) results for a relaxed BaGa3Bi crystal.

```
BaGa3Bi
1.0
5.606 0.000 0.000
0.000 5.606 0.000
0.000 0.000 5.606
Ba Ga Bi
1 3 1
Direct
0.500 0.500 0.500
0.000 0.000 0.500
0.500 0.000 0.000
0.000 0.500 0.000
0.000 0.000 0.000
```

## Properties
Final energy (eV per atom): -2.783
Energy of formation (eV/atom): 0.19
Space-group type: Pm-3m

***

DFT (PBE) results for a relaxed TaCl3 crystal.

```
TaCl3
1.0
8.993 0.000 0.000
0.000 8.993 0.000
4.497 4.497 2.432
Ta Cl
2 6
Direct
0.750 0.250 0.500
0.000 0.000 0.000
0.977 0.625 0.250
0.250 0.750 0.500
0.875 0.023 0.750
0.375 0.227 0.750
0.773 0.125 0.250
0.500 0.500 0.000
```

## Properties
E_form (uncorrected) (eV per atom): -0.73
Final energy (eV per atom): -5.077
Space-group type: I-42d

***

DFT (PBE) results for a relaxed Cd2AgPb crystal.

```
Cd2AgPb
1.0
-3.956 1.684 -1.161
-1.826 -4.083 0.298
-1.003 0.780 4.549
Pb Ag Cd
1 1 2
Direct
0.500 0.000 0.500
0.000 0.500 0.500
0.000 0.000 0.000
0.500 0.500 0.000
```

## Properties
Final energy (eV per atom): -2.024
Energy of formation (eV/atom): 0.07
Space-group type: Pmmm

***

DFT (PBE) results for a relaxed Ni2HgBi crystal.

```
Ni2HgBi
1.0
7.156 0.000 0.000
0.000 7.156 0.000
3.578 3.578 2.988
Bi Ni Hg
2 4 2
Direct
0.000 0.000 0.000
0.750 0.250 0.500
0.125 0.625 0.250
0.375 0.375 0.750
0.625 0.125 0.250
0.875 0.875 0.750
0.250 0.750 0.500
0.500 0.500 0.000
```

## Properties
Final energy (eV per atom): -3.499
Energy of formation (eV/atom): 0.44
Space-group type: I-42d

***

DFT (PBE) results for a relaxed Tl2SnCl8 crystal.

```
Tl2SnCl8
1.0
6.776 -0.997 -0.697
-0.150 8.100 0.236
-0.150 3.009 7.524
Cl Tl Sn
8 2 1
Direct
0.210 0.100 0.686
0.210 0.686 0.100
0.307 0.175 0.175
0.215 0.610 0.610
0.785 0.390 0.390
0.693 0.825 0.825
0.790 0.314 0.900
0.790 0.900 0.314
0.682 0.210 0.210
0.318 0.790 0.790
0.000 0.000 0.000
```

## Properties
E_form (uncorrected) (eV per atom): -0.72
Final energy (eV per atom): -2.861
Space-group type: C2/m

***

DFT (PBE) results for a relaxed CuAgSe4 crystal.

```
CuAgSe4
1.0
0.071 -5.637 -0.888
-4.272 -2.495 -2.845
0.883 -2.051 -5.252
Se Ag Cu
4 1 1
Direct
0.375 0.375 0.876
0.375 0.876 0.375
0.876 0.375 0.375
0.375 0.375 0.375
0.750 0.750 0.750
0.000 0.000 0.000
```

## Properties
E_form (uncorrected) (eV per atom): 0.67
Final energy (eV per atom): -2.812
Space-group type: F-43m

***

DFT (PBE) results for a relaxed BaMnB3 crystal.

```
BaMnB3
1.0
4.776 0.000 0.000
0.000 4.776 0.000
0.000 0.000 4.776
B Ba Mn
3 1 1
Direct
0.000 0.000 0.500
0.500 0.000 0.000
0.000 0.500 0.000
0.000 0.000 0.000
0.500 0.500 0.500
```

## Properties
Final energy (eV per atom): -2.722
Energy of formation (eV/atom): 3.50
Space-group type: Pm-3m

***

DFT (PBE) results for a relaxed LiCeSmRh crystal.

```
LiCeSmRh
1.0
-0.161 4.010 3.032
-4.383 2.297 0.901
-2.143 -0.361 4.536
Li Rh Sm Ce
1 1 1 1
Direct
0.500 0.500 0.500
0.000 0.000 0.000
0.250 0.250 0.250
0.750 0.750 0.750
```

## Properties
Final energy (eV per atom): -5.272
Energy of formation (eV/atom): -0.29
Space-group type: F-43m

***

DFT (PBE) results for a relaxed LiIn5Pd8 crystal.

```
LiIn5Pd8
1.0
6.896 -0.045 0.078
-2.376 6.474 -0.078
-2.144 -3.296 5.666
Pd In Li
8 5 1
Direct
0.745 0.253 0.338
0.508 0.593 0.255
0.950 0.103 0.683
0.153 0.733 0.050
0.084 0.747 0.492
0.317 0.267 0.420
0.662 0.407 0.916
0.580 0.897 0.847
0.028 0.354 0.135
0.500 0.000 0.500
0.325 0.107 0.972
0.781 0.646 0.675
0.865 0.893 0.219
0.250 0.500 0.750
```

## Properties
Final energy (eV per atom): -4.477
Energy of formation (eV/atom): -0.40
Space-group type: I-4

***

DFT (PBE) results for a relaxed BePt2Se crystal.

```
BePt2Se
1.0
-1.399 4.207 0.140
-2.861 1.283 3.138
1.348 2.678 3.270
Pt Se Be
2 1 1
Direct
0.250 0.250 0.250
0.000 0.000 0.000
0.750 0.750 0.750
0.500 0.500 0.500
```

## Properties
E_form (uncorrected) (eV per atom): 0.30
Final energy (eV per atom): -4.522
Space-group type: F-43m

***

DFT (PBE) results for a relaxed PdRhIN2 crystal.

```
PdRhIN2
1.0
3.799 0.000 0.000
0.000 3.799 0.000
0.000 0.000 8.216
Pd N Rh I
1 2 1 1
Direct
0.000 0.000 0.000
0.000 0.500 0.000
0.500 0.000 0.000
0.500 0.500 0.500
0.000 0.000 0.500
```

## Properties
E_form (uncorrected) (eV per atom): 1.61
Final energy (eV per atom): -4.544
Space-group type: P4/mmm

***

DFT (PBE) results for a relaxed YAgPd2Au2 crystal.

```
YAgPd2Au2
1.0
-4.911 -0.795 2.225
0.487 -7.201 -1.497
2.398 -0.383 5.156
Ag Pd Au Y
2 4 4 2
Direct
0.250 0.292 0.997
0.750 0.708 0.003
0.750 0.695 0.497
0.250 0.305 0.503
0.750 0.374 0.201
0.250 0.626 0.799
0.003 0.978 0.748
0.997 0.022 0.252
0.497 0.978 0.748
0.503 0.022 0.252
0.750 0.347 0.691
0.250 0.653 0.309
```

## Properties
Final energy (eV per atom): -4.810
Energy of formation (eV/atom): -0.43
Space-group type: P2_1/m

***

DFT (PBE) results for a relaxed TaTcF2 crystal.

```
TaTcF2
1.0
-1.842 -3.635 2.894
-0.983 -2.738 -4.064
2.843 -5.123 -0.310
Ta F Tc
2 4 2
Direct
0.000 0.000 0.000
0.750 0.250 0.500
0.627 0.125 0.250
0.875 0.877 0.750
0.375 0.373 0.750
0.123 0.625 0.250
0.500 0.500 0.000
0.250 0.750 0.500
```

## Properties
E_form (uncorrected) (eV per atom): 0.15
Final energy (eV per atom): -6.345
Space-group type: I-42d

***

DFT (PBE) results for a relaxed ErSc3As3 crystal.

```
ErSc3As3
1.0
-0.255 5.546 -5.946
-5.287 -0.844 -6.125
-5.583 4.430 -1.194
Er Sc As
2 6 6
Direct
0.333 0.333 0.000
0.667 0.667 0.000
0.819 0.091 0.738
0.181 0.909 0.262
0.647 0.181 0.262
0.091 0.353 0.738
0.909 0.647 0.262
0.353 0.819 0.738
0.290 0.542 0.244
0.710 0.458 0.756
0.077 0.710 0.756
0.542 0.923 0.244
0.458 0.077 0.756
0.923 0.290 0.244
```

## Properties
Final energy (eV per atom): -6.481
Energy of formation (eV/atom): -1.12
Space-group type: R-3

***

DFT (PBE) results for a relaxed BaTl2In2Hg2 crystal.

```
BaTl2In2Hg2
1.0
-1.930 -4.244 2.399
1.605 -1.236 4.836
-6.848 3.235 5.943
Tl Ba In Hg
2 1 2 2
Direct
0.862 0.862 0.413
0.138 0.138 0.587
0.000 0.000 0.000
0.746 0.746 0.761
0.254 0.254 0.239
0.405 0.405 0.786
0.595 0.595 0.214
```

## Properties
Final energy (eV per atom): -2.047
Energy of formation (eV/atom): -0.23
Space-group type: R-3m

***

DFT (PBE) results for a relaxed Na2MnCdH6 crystal.

```
Na2MnCdH6
1.0
-4.223 2.844 1.392
-2.858 -4.411 0.349
-2.576 -1.129 4.475
Cd H Na Mn
1 6 2 1
Direct
0.000 0.000 0.000
0.275 0.278 0.454
0.269 0.724 0.003
0.273 0.276 0.995
0.727 0.724 0.005
0.731 0.276 0.997
0.725 0.722 0.546
0.250 0.747 0.502
0.750 0.253 0.498
0.500 0.500 0.000
```

## Properties
Final energy (eV per atom): -3.268
Space-group type: P-1

***

DFT (PBE) results for a relaxed Sr2MoAs crystal.

```
Sr2MoAs
1.0
-0.440 -0.248 6.230
4.752 -2.636 3.089
-0.688 4.345 -4.440
Mo As Sr
1 1 2
Direct
0.750 0.250 0.500
0.500 0.500 0.000
0.000 0.000 0.000
0.250 0.750 0.500
```

## Properties
Final energy (eV per atom): -4.271
Energy of formation (eV/atom): 0.44
Space-group type: I-4m2

***

DFT (PBE) results for a relaxed NpAgBiO crystal.

```
NpAgBiO
1.0
4.034 0.000 0.000
0.000 4.034 0.000
0.000 0.000 10.600
O Np Bi Ag
2 2 2 2
Direct
0.500 0.500 0.000
0.000 0.000 0.000
0.000 0.500 0.892
0.500 0.000 0.108
0.500 0.000 0.711
0.000 0.500 0.289
0.500 0.500 0.500
0.000 0.000 0.500
```

## Properties
E_form (uncorrected) (eV per atom): -1.16
Final energy (eV per atom): -7.316
Space-group type: P4/nmm

***

DFT (PBE) results for a relaxed SnPd7Pt2 crystal.

```
SnPd7Pt2
1.0
-0.268 -0.066 -4.385
-2.966 -6.756 0.283
-4.259 6.030 0.170
Pd Sn Pt
7 1 2
Direct
0.000 0.798 0.202
0.500 0.709 0.927
0.000 0.202 0.798
0.500 0.927 0.709
0.500 0.500 0.500
0.500 0.291 0.073
0.500 0.073 0.291
0.000 0.000 0.000
0.500 0.301 0.699
0.500 0.699 0.301
```

## Properties
Final energy (eV per atom): -4.964
Energy of formation (eV/atom): 0.28
Space-group type: Cmmm

***

DFT (PBE) results for a relaxed BaNi2Pt crystal.

```
BaNi2Pt
1.0
5.680 0.051 0.005
2.569 5.066 -0.005
-3.433 -3.674 2.643
Pt Ba Ni
1 1 2
Direct
0.540 0.540 0.000
0.246 0.746 0.500
0.759 0.259 0.500
0.955 0.955 0.000
```

## Properties
Final energy (eV per atom): -4.554
Energy of formation (eV/atom): 0.33
Space-group type: Imm2

***

DFT (PBE) results for a relaxed Pr2InSiPt6 crystal.

```
Pr2InSiPt6
1.0
5.613 0.000 0.000
0.000 8.555 0.000
0.000 0.000 8.776
Pt Pr Si In
12 4 2 2
Direct
0.248 0.994 0.500
0.755 0.545 0.000
0.252 0.006 0.000
0.748 0.006 0.000
0.500 0.101 0.253
0.752 0.994 0.500
0.255 0.455 0.500
0.500 0.101 0.747
0.745 0.455 0.500
0.000 0.899 0.753
0.245 0.545 0.000
0.000 0.899 0.247
0.500 0.733 0.750
0.000 0.267 0.750
0.500 0.733 0.250
0.000 0.267 0.250
0.000 0.771 0.000
0.500 0.229 0.500
0.000 0.714 0.500
0.500 0.286 0.000
```

## Properties
E_form (uncorrected) (eV per atom): -0.87
Final energy (eV per atom): -6.266
Space-group type: Pmmn

***

DFT (PBE) results for a relaxed Rb2HoCl6 crystal.

```
Rb2HoCl6
1.0
-4.629 -1.727 0.312
1.530 -5.148 -5.796
3.294 -1.813 7.866
Cl Rb Ho
6 2 1
Direct
0.500 0.197 0.000
0.138 0.922 0.278
0.500 0.803 0.000
0.138 0.356 0.278
0.862 0.078 0.722
0.862 0.644 0.722
0.661 0.668 0.336
0.339 0.332 0.664
0.000 0.000 0.000
```

## Properties
E_form (uncorrected) (eV per atom): -1.78
Final energy (eV per atom): -3.735
Space-group type: C2/m